1.
# CaSc2Ag, relaxed, DFT PBE-GGA
# **DFT total energy**: -47.63 eV per cell
data_CaSc2Ag
_chemical_formula_sum 'Ca3 Sc6 Ag3'
_space_group_name_H-M_alt 'R -3 m'
_space_group_IT_number 166
_space_group_name_Hall '-R 3 2"'
_cell_length_a 3.2552
_cell_length_b 3.2552
_cell_length_c 34.6930
_cell_angle_alpha 90.00
_cell_angle_beta 90.00
_cell_angle_gamma 120.00
loop_
_atom_site_label
_atom_site_type_symbol
_atom_site_fract_x
_atom_site_fract_y
_atom_site_fract_z
_atom_site_occupancy
Ca1 Ca 0.0000 0.0000 0.0000 1
Sc1 Sc 0.0000 0.0000 0.4191 1
Ag1 Ag 0.0000 0.0000 0.5000 1

=====

2.
# HfTiMo3, relaxed, DFT PBE-GGA
# **DFT total energy**: -44.74 eV per cell
data_HfTiMo3
_chemical_formula_sum 'Hf1 Ti1 Mo3'
_space_group_name_H-M_alt 'P m -3 m'
_space_group_IT_number 221
_space_group_name_Hall '-P 4 2 3'
_cell_length_a 4.5870
_cell_length_b 4.5870
_cell_length_c 4.5870
_cell_angle_alpha 90.00
_cell_angle_beta 90.00
_cell_angle_gamma 90.00
loop_
_atom_site_label
_atom_site_type_symbol
_atom_site_fract_x
_atom_site_fract_y
_atom_site_fract_z
_atom_site_occupancy
Hf1 Hf 0.0000 0.0000 0.0000 1
Ti1 Ti 0.5000 0.5000 0.5000 1
Mo1 Mo 0.0000 0.5000 0.5000 1

=====

3.
# NaHgClO, relaxed, DFT PBE-GGA
# **ΔE_f (raw)**: -0.795 eV/atom
data_NaHgClO
_chemical_formula_sum 'Na1 Hg1 Cl1 O1'
_space_group_name_H-M_alt 'P m m 2'
_space_group_IT_number 25
_cell_length_a 3.8332
_cell_length_b 3.8663
_cell_length_c 8.0858
_cell_angle_alpha 90.00
_cell_angle_beta 90.00
_cell_angle_gamma 90.00
loop_
_space_group_symop_operation_xyz
'x,y,z'
'-x,-y,z'
'-x,y,z'
'x,-y,z'
loop_
_atom_site_label
_atom_site_type_symbol
_atom_site_fract_x
_atom_site_fract_y
_atom_site_fract_z
_atom_site_occupancy
Na1 Na 0.0000 0.0000 0.0000 1
Hg1 Hg 0.0000 0.0000 0.5126 1
Cl1 Cl 0.5000 0.5000 0.9639 1
O1 O 0.5000 0.0000 0.4455 1

=====

4.
# LaPm4Pb4, relaxed, DFT PBE-GGA
# **DFT total energy**: -83.40 eV per cell
data_LaPm4Pb4
_chemical_formula_sum 'La2 Pm8 Pb8'
_space_group_name_H-M_alt 'I 4/m'
_space_group_IT_number 87
_space_group_name_Hall '-I 4'
_cell_length_a 10.1821
_cell_length_b 10.1821
_cell_length_c 6.3782
_cell_angle_alpha 90.00
_cell_angle_beta 90.00
_cell_angle_gamma 90.00
loop_
_atom_site_label
_atom_site_type_symbol
_atom_site_fract_x
_atom_site_fract_y
_atom_site_fract_z
_atom_site_occupancy
La1 La 0.0000 0.0000 0.0000 1
Pm1 Pm 0.1017 0.6956 0.5000 1
Pb1 Pb 0.1046 0.6990 0.0000 1

=====

5.
# AlFe2Ru, relaxed, DFT PBE-GGA
# **DFT total energy**: -30.61 eV per cell
data_AlFe2Ru
_chemical_formula_sum 'Al1 Fe2 Ru1'
_space_group_name_H-M_alt 'P 4/m m m'
_space_group_IT_number 123
_space_group_name_Hall '-P 4 2'
_cell_length_a 3.6356
_cell_length_b 3.6356
_cell_length_c 3.9379
_cell_angle_alpha 90.00
_cell_angle_beta 90.00
_cell_angle_gamma 90.00
loop_
_atom_site_label
_atom_site_type_symbol
_atom_site_fract_x
_atom_site_fract_y
_atom_site_fract_z
_atom_site_occupancy
Al1 Al 0.0000 0.0000 0.0000 1
Fe1 Fe 0.0000 0.5000 0.5000 1
Ru1 Ru 0.5000 0.5000 0.0000 1

=====

6.
# TcTeIr4, relaxed, DFT PBE-GGA
# **ΔE_f (raw)**: 0.690 eV/atom
data_TcTeIr4
_chemical_formula_sum 'Tc4 Te4 Ir16'
_space_group_name_H-M_alt 'F -4 3 m'
_space_group_IT_number 216
_space_group_name_Hall 'F -4 2 3'
_cell_length_a 7.4241
_cell_length_b 7.4241
_cell_length_c 7.4241
_cell_angle_alpha 90.00
_cell_angle_beta 90.00
_cell_angle_gamma 90.00
loop_
_atom_site_label
_atom_site_type_symbol
_atom_site_fract_x
_atom_site_fract_y
_atom_site_fract_z
_atom_site_occupancy
Tc1 Tc 0.0000 0.0000 0.0000 1
Te1 Te 0.2500 0.2500 0.7500 1
Ir1 Ir 0.1258 0.1258 0.3742 1

=====

7.
# ErAl2Au, relaxed, DFT PBE-GGA
# **DFT total energy**: -51.97 eV per cell
data_ErAl2Au
_chemical_formula_sum 'Er3 Al6 Au3'
_space_group_name_H-M_alt 'R -3 m'
_space_group_IT_number 166
_space_group_name_Hall '-R 3 2"'
_cell_length_a 4.3117
_cell_length_b 4.3117
_cell_length_c 15.3285
_cell_angle_alpha 90.00
_cell_angle_beta 90.00
_cell_angle_gamma 120.00
loop_
_atom_site_label
_atom_site_type_symbol
_atom_site_fract_x
_atom_site_fract_y
_atom_site_fract_z
_atom_site_occupancy
Er1 Er 0.0000 0.0000 0.0000 1
Al1 Al 0.0000 0.0000 0.2156 1
Au1 Au 0.0000 0.0000 0.5000 1

=====

8.
# SmErSe, relaxed, DFT PBE-GGA
# **ΔE_f (raw)**: -1.097 eV/atom
data_SmErSe
_chemical_formula_sum 'Sm1 Er1 Se1'
_space_group_name_H-M_alt 'P 3 m 1'
_space_group_IT_number 156
_cell_length_a 3.8733
_cell_length_b 3.8733
_cell_length_c 6.6049
_cell_angle_alpha 90.00
_cell_angle_beta 90.00
_cell_angle_gamma 120.00
loop_
_space_group_symop_operation_xyz
'x,y,z'
'-y,x-y,z'
'-x+y,-x,z'
'-y,-x,z'
'-x+y,y,z'
'x,x-y,z'
loop_
_atom_site_label
_atom_site_type_symbol
_atom_site_fract_x
_atom_site_fract_y
_atom_site_fract_z
_atom_site_occupancy
Sm1 Sm 0.0000 0.0000 0.0000 1
Er1 Er 0.3333 0.6667 0.4418 1
Se1 Se 0.6667 0.3333 0.7109 1

=====

The records above yield magnetization values of 1.1; 0.0; 0.0; 0.6; 5.6; 3.1; 0.0; 0.0 μB/f.u., respectively.